(1)
HfTa | GGA-PBE | relaxed

DFT total energy in eV/cell: -21.48
Space group: Cmmm, No. 65
Energy relative to the elements in meV/atom: 162

Unit cell a=2.9497 b=2.9497 c=4.8632 alpha=90.00 beta=90.00 gamma=109.68
With the nearest neighbours (Å) after each atom.
Positions (direct):
Hf (0.0000, 0.0000, 0.0000)  4 Hf 2.95, 4 Ta 2.97
Ta (0.5000, 0.5000, 0.5000)  4 Ta 2.95, 4 Hf 2.97



(2)
CaNi2AsW | GGA-PBE | relaxed

DFT total energy in eV/cell: -20.46
Space group: P4/mmm, No. 123
Energy relative to the elements in meV/atom: 2142

Unit cell a=4.3324 b=4.3324 c=5.1535 alpha=90.00 beta=90.00 gamma=90.00
With the nearest neighbours (Å) after each atom.
Positions (direct):
Ca (0.0000, 0.0000, 0.0000)  4 Ni 2.17
Ni (0.0000, 0.5000, 0.0000)  2 Ca 2.17
Ni (0.5000, 0.0000, 0.0000)  2 Ca 2.17
As (0.5000, 0.5000, 0.5000)  4 W 3.06, 8 Ni 3.37
W (0.0000, 0.0000, 0.5000)  2 Ca 2.58



(3)
HgBiSb2 | GGA-PBE | relaxed

DFT total energy in eV/cell: -12.00
Space group: Cm, No. 8
Formation energy without anion corrections in eV/atom: 0.107
Polymorph energy (0 for the lowest one) in meV per atom: 0

Unit cell a=3.3258 b=3.3258 c=12.4832 alpha=94.12 beta=94.12 gamma=60.80
With the nearest neighbours (Å) after each atom.
Positions (direct):
Hg (0.0000, 0.0000, 0.0000)  1 Sb 3.09, 1 Bi 3.16, 6 Hg 3.33-3.37
Bi (0.9613, 0.9613, 0.2514)  1 Hg 3.16, 1 Sb 3.21, 6 Bi 3.33-3.37
Sb (0.0337, 0.0337, 0.7545)  7 Sb 3.05-3.37, 1 Hg 3.09
Sb (0.9936, 0.9936, 0.5094)  7 Sb 3.05-3.37, 1 Bi 3.21



(4)
CsSn2Cl7 | GGA-PBE | relaxed

DFT total energy in eV/cell: -32.55
Space group: Cmmm, No. 65
Formation energy without anion corrections in eV/atom: -1.076

Unit cell a=8.0801 b=8.0801 c=5.2574 alpha=90.00 beta=90.00 gamma=115.46
With the nearest neighbours (Å) after each atom.
Positions (direct):
Cs (0.0000, 0.0000, 0.0000)  8 Cl 3.62
Sn (0.2986, 0.7014, 0.5000)  7 Cl 2.63-2.84
Sn (0.7014, 0.2986, 0.5000)  7 Cl 2.63-2.84
Cl (0.0453, 0.3256, 0.5000)  2 Sn 2.69-2.84
Cl (0.3002, 0.6998, 0.0000)  2 Sn 2.63
Cl (0.3256, 0.0453, 0.5000)  2 Sn 2.69-2.84
Cl (0.5000, 0.5000, 0.5000)  2 Sn 2.75
Cl (0.6744, 0.9547, 0.5000)  2 Sn 2.69-2.84
Cl (0.6998, 0.3002, 0.0000)  2 Sn 2.63
Cl (0.9547, 0.6744, 0.5000)  2 Sn 2.69-2.84



(5)
Nd3Tl2Cd | GGA-PBE | relaxed

DFT total energy in eV/cell: -44.33
Space group: P-3m1, No. 164
Energy relative to the elements in meV/atom: -369
Polymorph energy (0 for the lowest one) in meV per atom: 0

Unit cell a=5.5044 b=5.5044 c=13.4988 alpha=90.00 beta=90.00 gamma=120.00
With the nearest neighbours (Å) after each atom.
Positions (direct):
Nd (0.0000, 0.0000, 0.2482)  5 Tl 3.35-3.40, 3 Cd 3.36
Nd (0.0000, 0.0000, 0.7518)  5 Tl 3.35-3.40, 3 Cd 3.36
Nd (0.3333, 0.6667, 0.4159)  1 Cd 3.34, 7 Tl 3.37-3.45
Nd (0.3333, 0.6667, 0.9180)  4 Tl 3.33-3.37, 4 Cd 3.38
Nd (0.6667, 0.3333, 0.0820)  4 Tl 3.33-3.37, 4 Cd 3.38
Nd (0.6667, 0.3333, 0.5841)  1 Cd 3.34, 7 Tl 3.37-3.45
Tl (0.0000, 0.0000, 0.0000)  8 Nd 3.35-3.37
Tl (0.0000, 0.0000, 0.5000)  8 Nd 3.37-3.40
Tl (0.3333, 0.6667, 0.6713)  8 Nd 3.33-3.45
Tl (0.6667, 0.3333, 0.3287)  8 Nd 3.33-3.45
Cd (0.3333, 0.6667, 0.1682)  8 Nd 3.34-3.38
Cd (0.6667, 0.3333, 0.8318)  8 Nd 3.34-3.38



(6)
Nd2CoI | GGA-PBE | relaxed

DFT total energy in eV/cell: -19.58
Space group: P4/mmm, No. 123
Formation energy without anion corrections in eV/atom: -0.348
Polymorph energy (0 for the lowest one) in meV per atom: 226

Unit cell a=3.5661 b=3.5661 c=8.4506 alpha=90.00 beta=90.00 gamma=90.00
With the nearest neighbours (Å) after each atom.
Positions (direct):
Nd (0.0000, 0.0000, 0.2006)  4 Co 3.04, 1 Nd 3.39
Nd (0.0000, 0.0000, 0.7994)  4 Co 3.04, 1 Nd 3.39
Co (0.5000, 0.5000, 0.0000)  8 Nd 3.04
I (0.5000, 0.5000, 0.5000)  4 I 3.57, 8 Nd 3.57



(7)
BaRe2Mo | GGA-PBE | relaxed

DFT total energy in eV/cell: -31.82
Space group: C2/m, No. 12
Energy relative to the elements in meV/atom: 1458
Polymorph energy (0 for the lowest one) in meV per atom: 692

Unit cell a=5.7008 b=5.7008 c=2.8338 alpha=98.67 beta=98.67 gamma=120.21
With the nearest neighbours (Å) after each atom.
Positions (direct):
Ba (0.0000, 0.0000, 0.0000)  2 Ba 2.83, 2 Mo 2.84, 4 Re 2.99
Re (0.0000, 0.5000, 0.5000)  4 Re 2.83-2.84, 2 Ba 2.99, 2 Mo 2.99
Re (0.5000, 0.0000, 0.5000)  4 Re 2.83-2.84, 2 Ba 2.99, 2 Mo 2.99
Mo (0.5000, 0.5000, 0.0000)  2 Mo 2.83, 2 Ba 2.84, 4 Re 2.99



(8)
BC2 | GGA-PBE | relaxed

DFT total energy in eV/cell: -95.97
Space group: Cc, No. 9
Energy relative to the elements in meV/atom: 378
Polymorph energy (0 for the lowest one) in meV per atom: 138

Unit cell a=4.5646 b=4.5646 c=4.5101 alpha=99.90 beta=99.90 gamma=119.51
With the nearest neighbours (Å) after each atom.
Positions (direct):
B (0.0818, 0.9182, 0.5000)  4 C 1.60-1.67
B (0.2626, 0.7646, 0.0041)  4 C 1.60-1.69
B (0.7646, 0.2626, 0.5041)  4 C 1.60-1.69
B (0.9182, 0.0818, 0.0000)  4 C 1.60-1.67
C (0.0691, 0.2394, 0.3935)  1 C 1.53, 3 B 1.60-1.67
C (0.2394, 0.0691, 0.8935)  1 C 1.53, 3 B 1.60-1.67
C (0.3875, 0.8714, 0.4010)  1 C 1.53, 3 B 1.63-1.69
C (0.4258, 0.5893, 0.5108)  4 C 1.53-1.57
C (0.5535, 0.7053, 0.8772)  2 C 1.55-1.57, 2 B 1.60-1.65
C (0.5893, 0.4258, 0.0108)  4 C 1.53-1.57
C (0.7053, 0.5535, 0.3772)  2 C 1.55-1.57, 2 B 1.60-1.65
C (0.8714, 0.3875, 0.9010)  1 C 1.53, 3 B 1.63-1.69



(9)
Nd3CoNi2 | GGA-PBE | relaxed

DFT total energy in eV/cell: -136.93
Space group: Pnma, No. 62
Energy relative to the elements in meV/atom: -210

Unit cell a=11.5076 b=3.9394 c=11.7887 alpha=90.00 beta=90.00 gamma=90.00
With the nearest neighbours (Å) after each atom.
Positions (direct):
Nd (0.0610, 0.2500, 0.1232)  5 Ni 2.95-3.16, 1 Co 3.00
Nd (0.1206, 0.7500, 0.5556)  3 Co 2.95-2.96, 5 Ni 3.05-3.07
Nd (0.2082, 0.2500, 0.8041)  2 Co 2.86, 4 Ni 2.91-3.04
Nd (0.2918, 0.7500, 0.3041)  2 Co 2.86, 4 Ni 2.91-3.04
Nd (0.3794, 0.2500, 0.0556)  3 Co 2.95-2.96, 5 Ni 3.05-3.07
Nd (0.4390, 0.7500, 0.6232)  5 Ni 2.95-3.16, 1 Co 3.00
Nd (0.5610, 0.2500, 0.3768)  5 Ni 2.95-3.16, 1 Co 3.00
Nd (0.6206, 0.7500, 0.9444)  3 Co 2.95-2.96, 5 Ni 3.05-3.07
Nd (0.7082, 0.2500, 0.6959)  2 Co 2.86, 4 Ni 2.91-3.04
Nd (0.7918, 0.7500, 0.1959)  2 Co 2.86, 4 Ni 2.91-3.04
Nd (0.8794, 0.2500, 0.4444)  3 Co 2.95-2.96, 5 Ni 3.05-3.07
Nd (0.9390, 0.7500, 0.8768)  5 Ni 2.95-3.16, 1 Co 3.00
Co (0.1246, 0.2500, 0.3698)  3 Ni 2.36-2.53
Co (0.3754, 0.7500, 0.8698)  3 Ni 2.36-2.53
Co (0.6246, 0.2500, 0.1302)  3 Ni 2.36-2.53
Co (0.8754, 0.7500, 0.6302)  3 Ni 2.36-2.53
Ni (0.0284, 0.7500, 0.3109)  2 Co 2.36
Ni (0.1901, 0.7500, 0.9853)  1 Co 2.53
Ni (0.3099, 0.2500, 0.4853)  1 Co 2.53
Ni (0.4716, 0.2500, 0.8109)  2 Co 2.36
Ni (0.5284, 0.7500, 0.1891)  2 Co 2.36
Ni (0.6901, 0.7500, 0.5147)  1 Co 2.53
Ni (0.8099, 0.2500, 0.0147)  1 Co 2.53
Ni (0.9716, 0.2500, 0.6891)  2 Co 2.36



(10)
La5Pr2Sm12 | GGA-PBE | relaxed

DFT total energy in eV/cell: -87.05
Space group: C2/m, No. 12
Energy relative to the elements in meV/atom: 199

Unit cell a=10.2687 b=10.2687 c=9.4384 alpha=106.87 beta=106.87 gamma=46.00
With the nearest neighbours (Å) after each atom.
Positions (direct):
La (0.0000, 0.0000, 0.0000)  6 Sm 3.36-3.59
La (0.2302, 0.2302, 0.6975)  7 Sm 3.37-3.73
La (0.3079, 0.3079, 0.3198)  8 Sm 3.74-3.95, 2 Pr 3.79, 2 La 4.07
La (0.6921, 0.6921, 0.6802)  8 Sm 3.74-3.95, 2 Pr 3.79, 2 La 4.07
La (0.7698, 0.7698, 0.3025)  7 Sm 3.37-3.73
Pr (0.3153, 0.6847, 0.5000)  1 Pr 2.96, 2 Sm 3.07
Pr (0.6847, 0.3153, 0.5000)  1 Pr 2.96, 2 Sm 3.07
Sm (0.0504, 0.0504, 0.6886)  2 Pr 3.07, 2 La 3.36-3.37
Sm (0.0709, 0.6081, 0.0136)  5 Sm 3.33-3.71, 1 La 3.59
Sm (0.0751, 0.6556, 0.6604)  3 Sm 3.37-3.52, 1 Pr 3.45, 3 La 3.56-3.74
Sm (0.3444, 0.9249, 0.3396)  3 Sm 3.37-3.52, 1 Pr 3.45, 3 La 3.56-3.74
Sm (0.3919, 0.9291, 0.9864)  5 Sm 3.33-3.71, 1 La 3.59
Sm (0.4993, 0.4993, 0.1678)  3 Sm 3.18-3.46, 2 Pr 3.46
Sm (0.5007, 0.5007, 0.8322)  3 Sm 3.18-3.46, 2 Pr 3.46
Sm (0.6081, 0.0709, 0.0136)  5 Sm 3.33-3.71, 1 La 3.59
Sm (0.6556, 0.0751, 0.6604)  3 Sm 3.37-3.52, 1 Pr 3.45, 3 La 3.56-3.74
Sm (0.9249, 0.3444, 0.3396)  3 Sm 3.37-3.52, 1 Pr 3.45, 3 La 3.56-3.74
Sm (0.9291, 0.3919, 0.9864)  5 Sm 3.33-3.71, 1 La 3.59
Sm (0.9496, 0.9496, 0.3114)  2 Pr 3.07, 2 La 3.36-3.37



(11)
KSr2Np2O7 | GGA-PBE | relaxed

DFT total energy in eV/cell: -97.34
Space group: Immm, No. 71
Formation energy without anion corrections in eV/atom: -2.691

Unit cell a=10.4817 b=10.4817 c=10.4817 alpha=154.85 beta=154.79 gamma=35.91
With the nearest neighbours (Å) after each atom.
Positions (direct):
K (0.0000, 0.0000, 0.0000)  12 O 3.23-3.25
Sr (0.2495, 0.7495, 0.5000)  5 O 2.39-2.66
Sr (0.7505, 0.2505, 0.5000)  5 O 2.39-2.66
Np (0.3938, 0.3938, 0.0000)  6 O 2.12-2.30
Np (0.6062, 0.6062, 0.0000)  6 O 2.12-2.30
O (0.1161, 0.6161, 0.5000)  2 Np 2.30
O (0.2845, 0.2845, 0.0000)  1 Np 2.18, 4 Sr 2.39
O (0.3839, 0.8839, 0.5000)  2 Np 2.29
O (0.5000, 0.5000, 0.0000)  2 Np 2.12
O (0.6161, 0.1161, 0.5000)  2 Np 2.29
O (0.7155, 0.7155, 0.0000)  1 Np 2.18, 4 Sr 2.39
O (0.8839, 0.3839, 0.5000)  2 Np 2.30



(12)
CaCo | GGA-PBE | relaxed

DFT total energy in eV/cell: -6.25
Space group: F-43m, No. 216
Energy relative to the elements in meV/atom: 1428

Unit cell a=4.4781 b=4.4781 c=4.4781 alpha=60.00 beta=60.00 gamma=60.00
With the nearest neighbours (Å) after each atom.
Positions (direct):
Ca (0.0000, 0.0000, 0.0000)  4 Co 2.74
Co (0.7500, 0.7500, 0.7500)  4 Ca 2.74



no.,theoretical density (Mg/m³),magnetic moment (μB per formula unit)
1,15.0,0.000
2,7.1,0.002
3,9.0,0.000
4,3.3,0.000
5,8.9,0.001
6,7.3,0.598
7,13.3,0.001
8,3.0,0.000
9,7.6,0.000
10,6.8,0.000
11,6.4,5.000
12,2.6,1.073